# Er12Cu6Rh, optimized geometry, DFT GGA-PBE
data_Er12Cu6Rh
_chemical_formula_sum 'Er12 Cu6 Rh1'
_space_group_name_H-M_alt 'P 1'
_space_group_IT_number 1
_space_group_name_Hall 'P 1'
_cell_length_a 8.0370
_cell_length_b 8.0370
_cell_length_c 8.0370
_cell_angle_alpha 98.15
_cell_angle_beta 98.15
_cell_angle_gamma 98.15
loop_
_atom_site_label
_atom_site_type_symbol
_atom_site_fract_x
_atom_site_fract_y
_atom_site_fract_z
_atom_site_occupancy
Cu1 Cu 0.6877 0.8729 0.3745 1
Er1 Er 0.0373 0.6774 0.9121 1
Er2 Er 0.3226 0.0879 0.9627 1
Cu2 Cu 0.1271 0.6255 0.3123 1
Er3 Er 0.5845 0.4347 0.8105 1
Er4 Er 0.0879 0.9627 0.3226 1
Cu3 Cu 0.3745 0.6877 0.8729 1
Er5 Er 0.4155 0.5653 0.1895 1
Er6 Er 0.5653 0.1895 0.4155 1
Er7 Er 0.1895 0.4155 0.5653 1
Er8 Er 0.6774 0.9121 0.0373 1
Cu4 Cu 0.3123 0.1271 0.6255 1
Cu5 Cu 0.8729 0.3745 0.6877 1
Er9 Er 0.4347 0.8105 0.5845 1
Rh1 Rh 0.0000 0.0000 0.0000 1
Er10 Er 0.9121 0.0373 0.6774 1
Er11 Er 0.8105 0.5845 0.4347 1
Cu6 Cu 0.6255 0.3123 0.1271 1
Er12 Er 0.9627 0.3226 0.0879 1
# * magnetic moment: 0.00 μB per formula unit
# * ΔE_f: -0.07 eV per atom
# * energy: -87.97 eV/cell